12
Lattice="-3.581 1.416 0.309 -2.145 -6.319 4.082 4.452 4.727 5.781" Properties=species:S:1:pos:R:3 comment="Ce2Tm3ScS6, optimized geometry, DFT GGA-PBE" m_tot_mub_per_atom=0.1394 spacegroup="No. 12" e_tot_ev_per_atom=-6.649 vol_a3_per_cell=248.78 e_form_raw_mev_per_atom=-1951 pbc="T T T"
Ce -1.444 0.127 6.827
Ce 0.169 -0.304 3.346
Tm -2.863 -2.452 2.196
Tm -0.383 3.259 4.774
Tm -0.892 -3.435 5.398
Sc -1.791 0.708 0.155
S -0.202 -2.213 7.790
S -2.199 -1.276 4.503
S -1.073 2.037 2.383
S 0.330 4.571 7.026
S -1.605 -4.747 3.146
S 0.924 1.100 5.669

***

8
Lattice="3.791 0.000 0.000 0.000 6.613 -0.147 0.000 2.313 6.206" Properties=species:S:1:pos:R:3 comment="CeTmSc2S4, optimized geometry, DFT GGA-PBE" m_tot_mub_per_atom=0.0793 spacegroup="No. 10" e_tot_ev_per_atom=-6.863 vol_a3_per_cell=156.88 e_form_raw_mev_per_atom=-1916 pbc="T T T"
Ce 1.895 3.307 -0.073
Tm 0.000 4.463 3.030
Sc 0.000 2.313 6.206
Sc 1.896 1.157 3.103
S 0.000 6.800 4.450
S 3.791 2.127 1.610
S 1.896 5.644 1.454
S 1.896 3.283 4.605

***

12
Lattice="-0.901 -3.105 -1.979 7.247 -2.352 0.392 -2.963 -1.766 7.749" Properties=species:S:1:pos:R:3 comment="CeTm2Sc3S6, optimized geometry, DFT GGA-PBE" m_tot_mub_per_atom=0.0574 spacegroup="No. 12" e_tot_ev_per_atom=-6.798 vol_a3_per_cell=232.91 e_form_raw_mev_per_atom=-1911 pbc="T T T"
Ce -0.450 -1.552 -0.990
Tm 2.121 -5.355 3.805
Tm 1.263 -1.869 2.357
Sc 3.173 -2.729 -0.793
Sc -1.566 -4.166 3.618
Sc 4.949 -3.058 2.545
S 4.432 -4.323 4.765
S 2.685 -4.039 1.484
S -1.049 -2.901 1.397
S -1.908 -5.488 5.848
S 5.291 -1.735 0.314
S 0.698 -3.185 4.678

***

8
Lattice="-3.226 2.014 -0.174 -3.318 -5.478 -1.890 -2.253 -3.143 5.383" Properties=species:S:1:pos:R:3 comment="CeYSc2S4, optimized geometry, DFT GGA-PBE" m_tot_mub_per_atom=0.0865 spacegroup="No. 10" e_tot_ev_per_atom=-7.129 vol_a3_per_cell=159.18 e_form_raw_mev_per_atom=-1932 pbc="T T T"
Ce -3.272 -1.732 -1.032
Y -2.785 -4.311 1.746
Sc -2.253 -3.143 5.383
Sc -2.739 -0.565 2.604
S -4.228 -6.556 2.508
S -4.569 -0.052 0.810
S -4.725 -3.989 -0.210
S -4.072 -2.619 3.529

***

Q: Which formula does entry 3 have?
A: CeTm2Sc3S6

***

Q: Number 2 is which compound?
A: CeTmSc2S4